Version A
A geometry-optimized Pm3GaBi structure, computed with PBE.

Calculated values
crystal system = monoclinic
DOS at the Fermi energy = 4.88 states/eV/f.u.

abc: 5.670 6.449 8.725
angles: 90.00 90.05 90.00
Atoms (fractional coordinates):
Pm1 0.000 0.000 0.000
Pm2 0.000 0.500 0.000
Pm3 0.001 0.250 0.364
Pm4 0.499 0.250 0.741
Pm5 0.501 0.750 0.259
Pm6 0.999 0.750 0.636
Ga1 0.001 0.750 0.302
Ga2 0.999 0.250 0.698
Bi1 0.500 0.250 0.151
Bi2 0.500 0.750 0.849

---

Version B
A geometry-optimized Pm3GaBi structure, computed with PBE.

Calculated values
crystal system = cubic
DOS at the Fermi energy = 3.65 states/eV/f.u.

abc: 5.549 5.549 5.549
angles: 90.00 90.00 90.00
Atoms (fractional coordinates):
Pm1 0.000 0.000 0.500
Pm2 0.000 0.500 0.000
Pm3 0.500 0.000 0.000
Ga1 0.000 0.000 0.000
Bi1 0.500 0.500 0.500

---

Energies relative to the most stable structure are version A 0; version B 232, reported in meV per atom.

---

Version A
A geometry-optimized PmGaBi structure, computed with PBE.

Calculated values
crystal system = orthorhombic
DOS at the Fermi energy = 2.10 states/eV/f.u.

abc: 13.689 4.910 4.923
angles: 90.00 90.00 90.00
Atoms (fractional coordinates):
Pm1 0.202 0.000 0.250
Pm2 0.202 0.500 0.750
Pm3 0.798 0.000 0.750
Pm4 0.798 0.500 0.250
Ga1 0.047 0.001 0.750
Ga2 0.047 0.499 0.250
Ga3 0.953 0.501 0.750
Ga4 0.953 0.999 0.250
Bi1 0.379 0.000 0.750
Bi2 0.379 0.500 0.250
Bi3 0.621 0.000 0.250
Bi4 0.621 0.500 0.750

---

Version B
A geometry-optimized PmGaBi structure, computed with PBE.

Calculated values
crystal system = trigonal
DOS at the Fermi energy = 1.88 states/eV/f.u.

abc: 4.859 4.859 4.127
angles: 90.00 90.00 120.00
Atoms (fractional coordinates):
Pm1 0.000 0.000 0.000
Ga1 0.333 0.667 0.645
Bi1 0.667 0.333 0.462

---

Version C
A geometry-optimized PmGaBi structure, computed with PBE.

Calculated values
crystal system = tetragonal
DOS at the Fermi energy = 3.29 states/eV/f.u.

abc: 6.064 6.064 6.064
angles: 142.92 142.92 53.44
Atoms (fractional coordinates):
Pm1 0.000 0.000 0.000
Ga1 0.677 0.677 0.000
Bi1 0.306 0.306 0.000

---

Energies relative to the most stable structure are version A 29; version B 0; version C 48, reported in meV per atom.

---

Version A
A geometry-optimized PmGaBi2 structure, computed with PBE.

Calculated values
crystal system = trigonal
DOS at the Fermi energy = 0.74 states/eV/f.u.

abc: 8.703 8.703 8.703
angles: 33.77 33.77 33.77
Atoms (fractional coordinates):
Pm1 0.000 0.000 0.000
Ga1 0.500 0.500 0.500
Bi1 0.393 0.393 0.393
Bi2 0.607 0.607 0.607

---

Version B
A geometry-optimized PmGaBi2 structure, computed with PBE.

Calculated values
crystal system = tetragonal
DOS at the Fermi energy = 1.60 states/eV/f.u.

abc: 4.899 4.899 9.438
angles: 90.00 90.00 90.00
Atoms (fractional coordinates):
Pm1 0.250 0.250 0.241
Pm2 0.750 0.750 0.759
Ga1 0.250 0.750 0.000
Ga2 0.750 0.250 0.000
Bi1 0.250 0.250 0.814
Bi2 0.250 0.750 0.500
Bi3 0.750 0.250 0.500
Bi4 0.750 0.750 0.186

---

Energies relative to the most stable structure are version A 389; version B 0, reported in meV per atom.

---

Version A
A geometry-optimized PmGaBi2 structure, computed with PBE.

Calculated values
crystal system = cubic
DOS at the Fermi energy = 2.45 states/eV/f.u.

abc: 5.507 5.507 5.507
angles: 60.00 60.00 60.00
Atoms (fractional coordinates):
Pm1 0.000 0.000 0.000
Ga1 0.500 0.500 0.500
Bi1 0.250 0.250 0.250
Bi2 0.750 0.750 0.750

---

Version B
A geometry-optimized PmGaBi2 structure, computed with PBE.

Calculated values
crystal system = tetragonal
DOS at the Fermi energy = 2.43 states/eV/f.u.

abc: 4.236 4.236 6.395
angles: 90.00 90.00 90.00
Atoms (fractional coordinates):
Pm1 0.000 0.000 0.000
Ga1 0.000 0.000 0.500
Bi1 0.500 0.500 0.252
Bi2 0.500 0.500 0.748

---

Energies relative to the most stable structure are version A 182; version B 0, reported in meV per atom.

---

Version A
A geometry-optimized Pm2GaBi4 structure, computed with PBE.

Calculated values
crystal system = monoclinic
DOS at the Fermi energy = 4.92 states/eV/f.u.

abc: 6.746 6.746 6.681
angles: 117.83 117.83 94.08
Atoms (fractional coordinates):
Pm1 0.000 0.500 0.000
Pm2 0.500 0.000 0.000
Ga1 0.000 0.000 0.500
Bi1 0.000 0.000 0.000
Bi2 0.000 0.500 0.500
Bi3 0.500 0.000 0.500
Bi4 0.500 0.500 0.000

---

Version B
A geometry-optimized Pm2GaBi4 structure, computed with PBE.

Calculated values
crystal system = monoclinic
DOS at the Fermi energy = 4.61 states/eV/f.u.

abc: 8.370 8.370 6.380
angles: 107.25 107.25 31.84
Atoms (fractional coordinates):
Pm1 0.211 0.211 0.246
Pm2 0.789 0.789 0.754
Ga1 0.000 0.000 0.000
Bi1 0.141 0.141 0.720
Bi2 0.429 0.429 0.677
Bi3 0.571 0.571 0.323
Bi4 0.859 0.859 0.280

---

Energies relative to the most stable structure are version A 0; version B 116, reported in meV per atom.

---

Version A
A geometry-optimized GaBi3Pt structure, computed with PBE.

Calculated values
crystal system = cubic
DOS at the Fermi energy = 4.24 states/eV/f.u.

abc: 5.502 5.502 5.502
angles: 90.00 90.00 90.00
Atoms (fractional coordinates):
Ga1 0.000 0.000 0.000
Bi1 0.000 0.500 0.500
Bi2 0.500 0.000 0.500
Bi3 0.500 0.500 0.000
Pt1 0.500 0.500 0.500

---

Version B
A geometry-optimized GaBi3Pt structure, computed with PBE.

Calculated values
crystal system = cubic
DOS at the Fermi energy = 3.87 states/eV/f.u.

abc: 5.335 5.335 5.335
angles: 90.00 90.00 90.00
Atoms (fractional coordinates):
Ga1 0.000 0.000 0.000
Bi1 0.000 0.000 0.500
Bi2 0.000 0.500 0.000
Bi3 0.500 0.000 0.000
Pt1 0.500 0.500 0.500

---

Energies relative to the most stable structure are version A 0; version B 502, reported in meV per atom.

---

Version A
A geometry-optimized GaBiPt3 structure, computed with PBE.

Calculated values
crystal system = cubic
DOS at the Fermi energy = 1.75 states/eV/f.u.

abc: 4.707 4.707 4.707
angles: 90.00 90.00 90.00
Atoms (fractional coordinates):
Ga1 0.000 0.000 0.000
Bi1 0.500 0.500 0.500
Pt1 0.000 0.000 0.500
Pt2 0.000 0.500 0.000
Pt3 0.500 0.000 0.000

---

Version B
A geometry-optimized GaBiPt3 structure, computed with PBE.

Calculated values
crystal system = cubic
DOS at the Fermi energy = 1.57 states/eV/f.u.

abc: 5.143 5.143 5.143
angles: 90.00 90.00 90.00
Atoms (fractional coordinates):
Ga1 0.000 0.000 0.000
Bi1 0.500 0.500 0.500
Pt1 0.000 0.500 0.500
Pt2 0.500 0.000 0.500
Pt3 0.500 0.500 0.000

---

Energies relative to the most stable structure are version A 0; version B 781, reported in meV per atom.

---

Version A
A geometry-optimized GaBiPt structure, computed with PBE.

Calculated values
crystal system = monoclinic
DOS at the Fermi energy = 0.87 states/eV/f.u.

abc: 6.402 6.402 6.206
angles: 108.36 108.36 33.69
Atoms (fractional coordinates):
Ga1 0.166 0.166 0.364
Ga2 0.834 0.834 0.636
Bi1 0.441 0.441 0.219
Bi2 0.559 0.559 0.781
Pt1 0.246 0.246 0.806
Pt2 0.754 0.754 0.194

---

Version B
A geometry-optimized GaBiPt structure, computed with PBE.

Calculated values
crystal system = cubic
DOS at the Fermi energy = 1.17 states/eV/f.u.

abc: 4.590 4.590 4.590
angles: 60.00 60.00 60.00
Atoms (fractional coordinates):
Ga1 0.000 0.000 0.000
Bi1 0.500 0.500 0.500
Pt1 0.750 0.750 0.750

---

Version C
A geometry-optimized GaBiPt structure, computed with PBE.

Calculated values
crystal system = trigonal
DOS at the Fermi energy = 1.76 states/eV/f.u.

abc: 4.250 4.250 4.318
angles: 90.00 90.00 120.00
Atoms (fractional coordinates):
Ga1 0.000 0.000 0.000
Bi1 0.333 0.667 0.492
Pt1 0.667 0.333 0.878

---

Energies relative to the most stable structure are version A 22; version B 0; version C 74, reported in meV per atom.